i | KLa2Rh after structural relaxation. Source: Alexandria, functional PBE.

The calculation puts the total magnetization at 0.000 μB per formula unit.

The structure belongs to space group R-3m (No. 166, hexagonal axes); the cell edges are 4.2184, 4.2184 and 34.4261 Å and the angles 90.00°, 90.00° and 120.00°. The asymmetric unit holds K at (0.0000, 0.0000, 0.0000), La at (0.0000, 0.0000, 0.1228) and Rh at (0.0000, 0.0000, 0.5000).


ii | KLa2Rh after structural relaxation. Source: Alexandria, functional PBE.

The calculation puts the total magnetization at 0.000 μB per formula unit.

The structure belongs to space group Immm (No. 71); the cell edges are 3.9437, 6.6729 and 10.9822 Å and the angles 90.00°, 90.00° and 90.00°. The asymmetric unit holds K at (0.0000, 0.0000, 0.0000), La at (0.0000, 0.5000, 0.1740) and Rh at (0.0000, 0.0000, 0.5000).


The winner here is i, beating the second structure by 22.6 kJ/mol of atoms.


i | Tc3Pb after structural relaxation. Source: Alexandria, functional PBE.

The calculation puts the total magnetization at 0.000 μB per formula unit.

The structure belongs to space group R-3m (No. 166, hexagonal axes); the cell edges are 2.9482, 2.9482 and 27.2839 Å and the angles 90.00°, 90.00° and 120.00°. The asymmetric unit holds Tc at (0.0000, 0.0000, 0.0000), Tc at (0.0000, 0.0000, 0.2586) and Pb at (0.0000, 0.0000, 0.5000).


ii | Tc3Pb after structural relaxation. Source: Alexandria, functional PBE.

The calculation puts the total magnetization at 1.117 μB per formula unit.

The structure belongs to space group P4/mmm (No. 123); the cell edges are 4.5722, 4.5722 and 3.1905 Å and the angles 90.00°, 90.00° and 90.00°. The asymmetric unit holds Tc at (0.0000, 0.0000, 0.0000), Tc at (0.0000, 0.5000, 0.5000) and Pb at (0.5000, 0.5000, 0.0000).


The winner here is i, beating the second structure by 15.6 kJ/mol of atoms.


i | CrSbSe2 after structural relaxation. Source: Alexandria, functional PBE.

The calculation puts the total magnetization at 3.092 μB per formula unit.

The structure belongs to space group R-3m (No. 166, hexagonal axes); the cell edges are 3.5339, 3.5339 and 24.4866 Å and the angles 90.00°, 90.00° and 120.00°. The asymmetric unit holds Cr at (0.0000, 0.0000, 0.0000), Sb at (0.0000, 0.0000, 0.5000) and Se at (0.0000, 0.0000, 0.2729).


ii | CrSbSe2 after structural relaxation. Source: Alexandria, functional PBE.

The calculation puts the total magnetization at 2.255 μB per formula unit.

The structure belongs to space group Amm2 (No. 38); the cell edges are 3.8729, 4.7446 and 9.9660 Å and the angles 90.00°, 90.00° and 90.00°. The asymmetric unit holds Cr at (0.0000, 0.0000, 0.0000), Sb at (0.5000, 0.0000, 0.1898), Se at (0.0000, 0.0000, 0.5125) and Se at (0.5000, 0.0000, 0.8335).


The winner here is i, beating the second structure by 4.6 kJ/mol of atoms.


i | Cu2ReAg after structural relaxation. Source: Alexandria, functional PBE.

The calculation puts the total magnetization at 1.704 μB per formula unit.

The structure belongs to space group Fm-3m (No. 225); the cell edges are 6.0960, 6.0960 and 6.0960 Å and the angles 90.00°, 90.00° and 90.00°. The asymmetric unit holds Cu at (0.2500, 0.2500, 0.2500), Re at (0.0000, 0.0000, 0.0000) and Ag at (0.0000, 0.0000, 0.5000).


ii | Cu2ReAg after structural relaxation. Source: Alexandria, functional PBE.

The calculation puts the total magnetization at 0.000 μB per formula unit.

The structure belongs to space group I-42d (No. 122); the cell edges are 6.7919, 6.7919 and 5.4037 Å and the angles 90.00°, 90.00° and 90.00°. The asymmetric unit holds Cu at (0.2416, 0.2500, 0.1250), Re at (0.0000, 0.0000, 0.0000) and Ag at (0.0000, 0.0000, 0.5000).


The winner here is i, beating the second structure by 36.5 kJ/mol of atoms.


i | LiPmGa after structural relaxation. Source: Alexandria, functional PBE.

The calculation puts the total magnetization at 0.000 μB per formula unit.

The structure belongs to space group Fmmm (No. 69); the cell edges are 6.0384, 9.4763 and 10.2116 Å and the angles 90.00°, 90.00° and 90.00°. The asymmetric unit holds Li at (0.0000, 0.0000, 0.1582), Pm at (0.0000, 0.1747, 0.5000) and Ga at (0.2500, 0.2500, 0.2500).


ii | LiPmGa after structural relaxation. Source: Alexandria, functional PBE.

The calculation puts the total magnetization at 0.005 μB per formula unit.

The structure belongs to space group P-6m2 (No. 187); the cell edges are 4.7791, 4.7791 and 3.3860 Å and the angles 90.00°, 90.00° and 120.00°. The asymmetric unit holds Li at (0.0000, 0.0000, 0.0000), Pm at (0.6667, 0.3333, 0.5000) and Ga at (0.3333, 0.6667, 0.0000).


The winner here is ii, beating the second structure by 18.3 kJ/mol of atoms.


i | CsSiTeCSe after structural relaxation. Source: Alexandria, functional PBE.

The calculation puts the total magnetization at 0.008 μB per formula unit.

The structure belongs to space group P1 (No. 1); the cell edges are 3.2766, 5.3591 and 8.5022 Å and the angles 94.36°, 101.06° and 107.73°. The asymmetric unit holds Cs at (0.0000, 0.0000, 0.0000), Si at (0.6590, 0.8111, 0.5074), Te at (0.5217, 0.3690, 0.6774), C at (0.2655, 0.9583, 0.5740) and Se at (0.4229, 0.5962, 0.2472).


ii | CsSiTeCSe after structural relaxation. Source: Alexandria, functional PBE.

The calculation puts the total magnetization at 0.000 μB per formula unit.

The structure belongs to space group Cm (No. 8); the cell edges are 13.9703, 3.5741 and 6.0962 Å and the angles 90.00°, 114.46° and 90.00°. The asymmetric unit holds Cs at (0.0000, 0.0000, 0.0000), Si at (0.2840, 0.5000, 0.2724), Te at (0.2094, 0.0000, 0.7229), C at (0.2412, 0.5000, 0.9412) and Se at (0.4122, 0.0000, 0.4091).


The winner here is i, beating the second structure by 11.0 kJ/mol of atoms.